VASP calculation (PBE+U) on an optimized crystal structure of MgTl2Cr3F12.

## Properties
SG: No. 166
raw total energy: -99.29 eV per cell
volume: 16.28 Å³/atom

```
MgTl2Cr3F12
1.0
3.762 2.172 5.977
-3.762 2.172 5.977
0.000 -4.345 5.977
Mg Tl Cr F
1 2 3 12
direct
0.000 0.000 0.000 Mg
0.341 0.341 0.341 Tl
0.659 0.659 0.659 Tl
0.000 0.000 0.500 Cr
0.000 0.500 0.000 Cr
0.500 0.000 0.000 Cr
0.056 0.682 0.682 F
0.067 0.067 0.682 F
0.067 0.682 0.067 F
0.318 0.318 0.944 F
0.318 0.933 0.933 F
0.318 0.944 0.318 F
0.682 0.056 0.682 F
0.682 0.067 0.067 F
0.682 0.682 0.056 F
0.933 0.318 0.933 F
0.933 0.933 0.318 F
0.944 0.318 0.318 F
```